[1]
Density functional theory data (PBE-GGA) for a geometry-optimized K3CuPCO7 structure.

As for the formation energy without anion corrections: -1.784 eV/atom. As for the symmetry: P2_1/m, No. 11.

a = 5.352 Å, b = 8.569 Å, c = 9.415 Å
α = 90.00°, β = 90.91°, γ = 90.00°
Atoms (fractional coordinates):
K (0.229, 0.250, 0.067)
K (0.258, 0.504, 0.691)
K (0.258, 0.996, 0.691)
K (0.742, 0.004, 0.309)
K (0.742, 0.496, 0.309)
K (0.771, 0.750, 0.933)
Cu (0.229, 0.750, 0.370)
Cu (0.771, 0.250, 0.630)
P (0.272, 0.250, 0.408)
P (0.728, 0.750, 0.592)
C (0.266, 0.750, 0.112)
C (0.734, 0.250, 0.888)
O (0.052, 0.750, 0.179)
O (0.100, 0.250, 0.541)
O (0.234, 0.101, 0.318)
O (0.234, 0.399, 0.318)
O (0.279, 0.750, 0.977)
O (0.447, 0.750, 0.534)
O (0.462, 0.750, 0.198)
O (0.538, 0.250, 0.802)
O (0.553, 0.250, 0.466)
O (0.721, 0.250, 0.023)
O (0.766, 0.601, 0.682)
O (0.766, 0.899, 0.682)
O (0.900, 0.750, 0.459)
O (0.948, 0.250, 0.821)



[2]
Density functional theory data (PBE-GGA) for a geometry-optimized NaS structure.

As for the formation energy without anion corrections: -0.621 eV/atom. The value obtained for the density of states at the Fermi level is 0.72 states/eV/f.u. As for the symmetry: Pmn2_1, No. 31.

a = 13.258 Å, b = 4.686 Å, c = 5.360 Å
α = 90.00°, β = 90.00°, γ = 90.00°
Atoms (fractional coordinates):
Na (0.000, 0.205, 0.000)
Na (0.218, 0.741, 0.577)
Na (0.282, 0.259, 0.077)
Na (0.500, 0.795, 0.500)
Na (0.718, 0.259, 0.077)
Na (0.782, 0.741, 0.577)
S (0.000, 0.703, 0.250)
S (0.161, 0.759, 0.078)
S (0.339, 0.241, 0.578)
S (0.500, 0.297, 0.750)
S (0.661, 0.241, 0.578)
S (0.839, 0.759, 0.078)



[3]
Density functional theory data (PBE-GGA) for a geometry-optimized Ac3Ge2S8 structure.

As for the formation energy without anion corrections: -1.265 eV/atom. The value obtained for the density of states at the Fermi level is 2.17 states/eV/f.u. As for the symmetry: R-3m, No. 166.

a = 9.135 Å, b = 9.135 Å, c = 9.135 Å
α = 43.59°, β = 43.59°, γ = 43.59°
Atoms (fractional coordinates):
Ac (0.000, 0.000, 0.000)
Ac (0.208, 0.208, 0.208)
Ac (0.792, 0.792, 0.792)
Ge (0.412, 0.412, 0.412)
Ge (0.588, 0.588, 0.588)
S (0.195, 0.747, 0.747)
S (0.253, 0.253, 0.805)
S (0.253, 0.805, 0.253)
S (0.321, 0.321, 0.321)
S (0.679, 0.679, 0.679)
S (0.747, 0.195, 0.747)
S (0.747, 0.747, 0.195)
S (0.805, 0.253, 0.253)



[4]
Density functional theory data (PBE-GGA) for a geometry-optimized LiAcPmGa structure.

The value obtained for the density of states at the Fermi level is 3.82 states/eV/f.u. The final energy comes out at -3.687 eV/atom. As for the symmetry: F-43m, No. 216.

a = 5.416 Å, b = 5.416 Å, c = 5.416 Å
α = 60.00°, β = 60.00°, γ = 60.00°
Atoms (fractional coordinates):
Li (0.000, 0.000, 0.000)
Ac (0.250, 0.250, 0.250)
Pm (0.750, 0.750, 0.750)
Ga (0.500, 0.500, 0.500)